1.
Density functional theory data (PBE) for MnCu2Ag after structural relaxation.

The space group is Fm-3m (No. 225) and the conventional cell measures 6.097, 6.097 and 6.097 Å, with angles of 90.00, 90.00 and 90.00 degrees. The asymmetric unit holds Mn at (0.000, 0.000, 0.000), Cu at (0.250, 0.250, 0.250) and Ag at (0.000, 0.000, 0.500).

The density of states at the Fermi level is 2.02 states/eV/f.u. As for the total magnetization: 0.96 μB per atom. Its total energy is -77.96 eV per cell.


2.
Density functional theory data (PBE) for Li3Sc2Ag4 after structural relaxation.

The space group is C2/m (No. 12) and the conventional cell measures 9.108, 4.300 and 8.658 Å, with angles of 90.00, 109.84 and 90.00 degrees. The asymmetric unit holds Li at (0.000, 0.000, 0.000), Li at (0.144, 0.500, 0.551), Sc at (0.189, 0.500, 0.225), Ag at (0.033, 0.000, 0.346) and Ag at (0.153, 0.500, 0.881).

The density of states at the Fermi level is 4.48 states/eV/f.u. As for the total magnetization: 0.00 μB per atom. Its total energy is -62.54 eV per cell.


3.
Density functional theory data (PBE) for Y2ZnMo after structural relaxation.

The space group is F-43m (No. 216) and the conventional cell measures 6.980, 6.980 and 6.980 Å, with angles of 90.00, 90.00 and 90.00 degrees. The asymmetric unit holds Y at (0.000, 0.000, 0.000), Y at (0.250, 0.250, 0.250), Zn at (0.000, 0.000, 0.500) and Mo at (0.250, 0.250, 0.750).

The density of states at the Fermi level is 3.81 states/eV/f.u. As for the total magnetization: 0.00 μB per atom. Its total energy is -94.40 eV per cell.


4.
Density functional theory data (PBE) for Sr2Hg2Pd after structural relaxation.

The space group is I4/mmm (No. 139) and the conventional cell measures 4.117, 4.117 and 18.358 Å, with angles of 90.00, 90.00 and 90.00 degrees. The asymmetric unit holds Sr at (0.000, 0.000, 0.096), Hg at (0.000, 0.500, 0.250) and Pd at (0.000, 0.000, 0.500).

The density of states at the Fermi level is 1.19 states/eV/f.u. As for the total magnetization: 0.00 μB per atom. Its total energy is -21.66 eV per cell.


5.
Density functional theory data (PBE) for KNa2Cd2F7 after structural relaxation.

The space group is Imm2 (No. 44) and the conventional cell measures 4.543, 18.957 and 4.535 Å, with angles of 90.00, 90.00 and 90.00 degrees. The asymmetric unit holds K at (0.000, 0.000, 0.000), Na at (0.000, 0.249, 0.547), Cd at (0.000, 0.384, 0.045), F at (0.000, 0.117, 0.549), F at (0.000, 0.265, 0.047), F at (0.000, 0.380, 0.548) and F at (0.000, 0.500, 0.098).

The density of states at the Fermi level is 0.00 states/eV/f.u. As for the total magnetization: 0.00 μB per atom. As for the uncorrected formation energy: -2.47 eV per atom. Its total energy is -96.49 eV per cell.


6.
Density functional theory data (PBE) for Na2CaBr4 after structural relaxation.

The space group is P4_122 (No. 91) and the conventional cell measures 8.749, 8.749 and 12.265 Å, with angles of 90.00, 90.00 and 90.00 degrees. The asymmetric unit holds Na at (0.000, 0.244, 0.000), Na at (0.248, 0.248, 0.375), Ca at (0.246, 0.500, 0.750), Br at (0.021, 0.259, 0.755) and Br at (0.259, 0.482, 0.989).

The density of states at the Fermi level is 0.00 states/eV/f.u. As for the total magnetization: 0.00 μB per atom. As for the uncorrected formation energy: -1.76 eV per atom. Its total energy is -94.61 eV per cell.


7.
Density functional theory data (PBE) for Zr2TlCuPd after structural relaxation.

The space group is P4/mmm (No. 123) and the conventional cell measures 5.043, 5.043 and 4.712 Å, with angles of 90.00, 90.00 and 90.00 degrees. The asymmetric unit holds Zr at (0.000, 0.500, 0.000), Tl at (0.000, 0.000, 0.500), Cu at (0.500, 0.500, 0.500) and Pd at (0.500, 0.500, 0.000).

The density of states at the Fermi level is 4.54 states/eV/f.u. As for the total magnetization: 0.00 μB per atom. Its total energy is -26.84 eV per cell.


8.
Density functional theory data (PBE) for BaReNi3 after structural relaxation.

The space group is Pm-3m (No. 221) and the conventional cell measures 4.701, 4.701 and 4.701 Å, with angles of 90.00, 90.00 and 90.00 degrees. The asymmetric unit holds Ba at (0.000, 0.000, 0.000), Re at (0.500, 0.500, 0.500) and Ni at (0.000, 0.500, 0.500).

The density of states at the Fermi level is 4.77 states/eV/f.u. As for the total magnetization: 0.00 μB per atom. Its total energy is -28.51 eV per cell.


9.
Density functional theory data (PBE) for LaAg2H8Rh3 after structural relaxation.

The space group is R3m (No. 160, hexagonal axes) and the conventional cell measures 5.8928, 5.8928 and 14.2722 Å, with angles of 90.00, 90.00 and 120.00 degrees. The asymmetric unit holds La at (0.0000, 0.0000, 0.0000), Ag at (0.0000, 0.0000, 0.2546), Ag at (0.0000, 0.0000, 0.6145), H at (0.0000, 0.0000, 0.3915), H at (0.0000, 0.0000, 0.8346), H at (0.0762, 0.5381, 0.3981), H at (0.1682, 0.3365, 0.1688) and Rh at (0.0039, 0.5019, 0.1204).

The density of states at the Fermi level is 2.01 states/eV/f.u. As for the total magnetization: 0.00 μB per atom. Its total energy is -185.53 eV per cell.


10.
Density functional theory data (PBE) for CaLa2HgRu after structural relaxation.

The space group is P4/mmm (No. 123) and the conventional cell measures 5.362, 5.362 and 5.604 Å, with angles of 90.00, 90.00 and 90.00 degrees. The asymmetric unit holds Ca at (0.000, 0.000, 0.000), La at (0.000, 0.500, 0.500), Hg at (0.500, 0.500, 0.000) and Ru at (0.500, 0.500, 0.500).

The density of states at the Fermi level is 5.38 states/eV/f.u. As for the total magnetization: 0.00 μB per atom. Its total energy is -22.28 eV per cell.


11.
Density functional theory data (PBE) for Si2AsP after structural relaxation.

The space group is Immm (No. 71) and the conventional cell measures 3.176, 4.202 and 9.804 Å, with angles of 90.00, 90.00 and 90.00 degrees. The asymmetric unit holds Si at (0.000, 0.000, 0.204), As at (0.000, 0.500, 0.000) and P at (0.000, 0.500, 0.500).

The density of states at the Fermi level is 1.40 states/eV/f.u. As for the total magnetization: 0.00 μB per atom. As for the uncorrected formation energy: 0.50 eV per atom. Its total energy is -37.81 eV per cell.


12.
Density functional theory data (PBE) for HfTcOs3 after structural relaxation.

The space group is Pm-3m (No. 221) and the conventional cell measures 4.636, 4.636 and 4.636 Å, with angles of 90.00, 90.00 and 90.00 degrees. The asymmetric unit holds Hf at (0.000, 0.000, 0.000), Tc at (0.500, 0.500, 0.500) and Os at (0.000, 0.500, 0.500).

The density of states at the Fermi level is 5.81 states/eV/f.u. As for the total magnetization: 0.00 μB per atom. Its total energy is -46.03 eV per cell.